1.
{
  "formula": "TiO",
  "functional": "GGA-PBEsol",
  "state": "relaxed",
  "cell": [[4.129, 0.000, 0.000], [-2.065, 4.612, -0.001], [0.000, -1.718, 5.503]],
  "species": ["Ti", "Ti", "Ti", "Ti", "Ti", "O", "O", "O", "O", "O"],
  "fractional_positions": [[0.652, 0.304, 0.324], [0.348, 0.696, 0.676], [0.665, 0.330, 0.830], [0.335, 0.670, 0.170], [0.000, 0.000, 0.500], [0.500, 0.000, 0.000], [0.831, 0.661, 0.168], [0.169, 0.339, 0.832], [0.831, 0.662, 0.658], [0.169, 0.338, 0.342]]
}

2.
{
  "formula": "TiTl2O3",
  "functional": "GGA-PBEsol",
  "state": "relaxed",
  "cell": [[3.789, 0.000, 0.000], [0.000, 9.580, 0.000], [0.000, 0.000, 12.378]],
  "species": ["Ti", "Ti", "Ti", "Ti", "Tl", "Tl", "Tl", "Tl", "Tl", "Tl", "Tl", "Tl", "O", "O", "O", "O", "O", "O", "O", "O", "O", "O", "O", "O"],
  "fractional_positions": [[0.750, 0.459, 0.904], [0.250, 0.959, 0.596], [0.250, 0.541, 0.096], [0.750, 0.041, 0.404], [0.250, 0.744, 0.345], [0.250, 0.756, 0.845], [0.750, 0.244, 0.155], [0.750, 0.256, 0.655], [0.250, 0.370, 0.405], [0.750, 0.630, 0.595], [0.750, 0.870, 0.095], [0.250, 0.130, 0.905], [0.250, 0.042, 0.446], [0.750, 0.958, 0.554], [0.750, 0.542, 0.054], [0.250, 0.458, 0.946], [0.250, 0.414, 0.202], [0.750, 0.586, 0.798], [0.750, 0.914, 0.298], [0.750, 0.283, 0.848], [0.750, 0.217, 0.348], [0.250, 0.783, 0.652], [0.250, 0.717, 0.152], [0.250, 0.086, 0.702]]
}

3.
{
  "formula": "TiTl3O",
  "functional": "GGA-PBEsol",
  "state": "relaxed",
  "cell": [[4.800, 0.000, 0.000], [0.000, 4.800, 0.000], [0.000, 0.000, 4.800]],
  "species": ["Tl", "Tl", "Tl", "O", "Ti"],
  "fractional_positions": [[0.000, 0.500, 0.000], [0.000, 0.000, 0.500], [0.500, 0.000, 0.000], [0.000, 0.000, 0.000], [0.500, 0.500, 0.500]]
}

4.
{
  "formula": "Ti15VO24",
  "functional": "GGA-PBEsol",
  "state": "relaxed",
  "cell": [[-0.713, -3.762, 3.912], [6.521, 3.089, 5.352], [-3.157, 5.747, 6.143]],
  "species": ["Ti", "Ti", "Ti", "Ti", "Ti", "Ti", "Ti", "Ti", "Ti", "Ti", "Ti", "Ti", "Ti", "Ti", "Ti", "V", "O", "O", "O", "O", "O", "O", "O", "O", "O", "O", "O", "O", "O", "O", "O", "O", "O", "O", "O", "O", "O", "O", "O", "O"],
  "fractional_positions": [[0.691, 0.924, 0.923], [0.308, 0.828, 0.827], [0.193, 0.923, 0.421], [0.307, 0.577, 0.579], [0.691, 0.673, 0.673], [0.809, 0.828, 0.326], [0.195, 0.667, 0.175], [0.189, 0.423, 0.924], [0.809, 0.325, 0.828], [0.193, 0.177, 0.667], [0.692, 0.422, 0.424], [0.810, 0.579, 0.076], [0.812, 0.075, 0.577], [0.307, 0.077, 0.076], [0.683, 0.175, 0.176], [0.316, 0.329, 0.329], [0.160, 0.969, 0.623], [0.001, 0.781, 0.971], [0.000, 0.719, 0.530], [0.158, 0.874, 0.218], [0.657, 0.874, 0.720], [0.655, 0.971, 0.125], [0.344, 0.625, 0.782], [0.500, 0.780, 0.469], [0.155, 0.375, 0.719], [0.500, 0.720, 0.031], [0.342, 0.530, 0.379], [0.843, 0.530, 0.876], [0.157, 0.467, 0.124], [0.655, 0.468, 0.625], [0.998, 0.282, 0.467], [0.498, 0.282, 0.969], [0.844, 0.624, 0.281], [0.655, 0.379, 0.218], [0.506, 0.217, 0.530], [0.997, 0.218, 0.033], [0.343, 0.033, 0.873], [0.340, 0.124, 0.283], [0.847, 0.125, 0.779], [0.844, 0.030, 0.375]]
}

5.
{
  "formula": "TiV2O7",
  "functional": "GGA-PBEsol",
  "state": "relaxed",
  "cell": [[-5.641, -4.130, -4.995], [5.533, 0.380, -6.562], [3.375, -7.525, 2.410]],
  "species": ["Ti", "Ti", "Ti", "Ti", "V", "V", "V", "V", "V", "V", "V", "V", "O", "O", "O", "O", "O", "O", "O", "O", "O", "O", "O", "O", "O", "O", "O", "O", "O", "O", "O", "O", "O", "O", "O", "O", "O", "O", "O", "O"],
  "fractional_positions": [[0.000, 0.000, 0.000], [0.000, 0.500, 0.500], [0.500, 0.000, 0.500], [0.500, 0.500, 0.000], [0.118, 0.882, 0.382], [0.118, 0.618, 0.882], [0.382, 0.382, 0.382], [0.382, 0.118, 0.882], [0.618, 0.618, 0.618], [0.618, 0.882, 0.118], [0.882, 0.118, 0.618], [0.882, 0.382, 0.118], [0.000, 0.000, 0.500], [0.000, 0.500, 0.000], [0.064, 0.694, 0.405], [0.064, 0.806, 0.905], [0.095, 0.564, 0.694], [0.095, 0.936, 0.194], [0.194, 0.095, 0.936], [0.194, 0.405, 0.436], [0.306, 0.595, 0.936], [0.306, 0.905, 0.436], [0.405, 0.064, 0.694], [0.405, 0.436, 0.194], [0.436, 0.306, 0.905], [0.436, 0.194, 0.405], [0.500, 0.500, 0.500], [0.500, 0.000, 0.000], [0.564, 0.694, 0.095], [0.564, 0.806, 0.595], [0.595, 0.564, 0.806], [0.595, 0.936, 0.306], [0.694, 0.095, 0.564], [0.694, 0.405, 0.064], [0.806, 0.595, 0.564], [0.806, 0.905, 0.064], [0.905, 0.064, 0.806], [0.905, 0.436, 0.306], [0.936, 0.194, 0.095], [0.936, 0.306, 0.595]]
}

6.
{
  "formula": "TiVO3",
  "functional": "GGA-PBEsol",
  "state": "relaxed",
  "cell": [[-4.667, -1.349, -0.777], [1.736, -4.570, -2.493], [0.290, -4.387, 5.927]],
  "species": ["Ti", "Ti", "Ti", "Ti", "V", "V", "V", "V", "O", "O", "O", "O", "O", "O", "O", "O", "O", "O", "O", "O"],
  "fractional_positions": [[0.504, 0.799, 0.165], [0.494, 0.177, 0.350], [0.998, 0.323, 0.646], [0.503, 0.189, 0.851], [0.002, 0.318, 0.153], [0.997, 0.684, 0.337], [0.495, 0.815, 0.664], [0.008, 0.691, 0.837], [0.314, 0.494, 0.250], [0.843, 0.659, 0.085], [0.659, 0.835, 0.416], [0.177, 0.000, 0.249], [0.656, 0.151, 0.096], [0.162, 0.665, 0.585], [0.838, 0.343, 0.401], [0.344, 0.843, 0.914], [0.338, 0.155, 0.599], [0.163, 0.351, 0.902], [0.686, 0.500, 0.752], [0.818, 0.006, 0.747]]
}

Number 1: formation energy without anion corrections -2604 meV per atom, Fermi-level density of states 0.39 states/eV per atom. Number 2: formation energy without anion corrections -1870 meV per atom, Fermi-level density of states 0.00 states/eV per atom. Number 3: formation energy without anion corrections 268 meV per atom, Fermi-level density of states 0.69 states/eV per atom. Number 4: formation energy without anion corrections -2913 meV per atom, Fermi-level density of states 0.30 states/eV per atom. Number 5: formation energy without anion corrections -2538 meV per atom, Fermi-level density of states 0.00 states/eV per atom. Number 6: formation energy without anion corrections -2638 meV per atom, Fermi-level density of states 0.31 states/eV per atom.